An optimized crystal structure of Zr2TiSb2. Source: Alexandria via LeMat-Bulk, functional PBEsol.

Properties
The value obtained for the formation energy (no corrections) is -0.0473 eV/atom. Its space group is I4/mmm, No. 139. The density of states at the Fermi level comes out at 3.53 states/eV per cell. Its energy is -7.171 eV/atom.

a b c (Å): 4.0980 4.0980 7.3834
angles (deg): 106.11 106.11 90.00
Site moments in Bohr magnetons follow the coordinates.
Fractional coordinates of all 5 atoms:
Sb 0.3990 0.3990 0.7980  -0.01
Ti 0.0000 0.0000 0.0000  0.32
Zr 0.7500 0.2500 0.5000  -0.01
Sb 0.6010 0.6010 0.2020  -0.01
Zr 0.2500 0.7500 0.5000  -0.01


An optimized crystal structure of Zr3TiSb. Source: Alexandria via LeMat-Bulk, functional PBEsol.

Properties
The value obtained for the formation energy (no corrections) is 0.8740 eV/atom. Its space group is Pm-3m, No. 221. The density of states at the Fermi level comes out at 5.15 states/eV per cell. Its energy is -7.156 eV/atom.

a b c (Å): 5.1990 5.1990 5.1990
angles (deg): 90.00 90.00 90.00
Site moments in Bohr magnetons follow the coordinates.
Fractional coordinates of all 5 atoms:
Zr 0.0000 0.5000 0.0000  -0.03
Sb 0.0000 0.0000 0.0000  0.00
Ti 0.5000 0.5000 0.5000  1.22
Zr 0.5000 0.0000 0.0000  -0.03
Zr 0.0000 0.0000 0.5000  -0.03


An optimized crystal structure of Tl5Sb4. Source: Alexandria via LeMat-Bulk, functional PBEsol.

Properties
The value obtained for the formation energy (no corrections) is 0.0691 eV/atom. Its space group is I4/mmm, No. 139. For the energy above the most stable polymorph in this dataset, the calculation gives 0.0135 eV per atom. The density of states at the Fermi level comes out at 4.48 states/eV per cell. Its energy is -3.418 eV/atom.

a b c (Å): 5.1199 7.4902 7.4902
angles (deg): 83.29 70.02 70.02
Fractional coordinates of all 9 atoms:
Tl 0.6695 0.6609 0.0000
Tl 0.6695 0.0000 0.6609
Tl 0.3305 0.0000 0.3391
Tl 0.3305 0.3391 0.0000
Sb 0.3478 0.6522 0.6522
Sb 0.6522 0.3478 0.3478
Sb 0.0000 0.3478 0.6522
Tl 0.0000 0.0000 0.0000
Sb 0.0000 0.6522 0.3478


An optimized crystal structure of TlSb. Source: Alexandria via LeMat-Bulk, functional PBEsol.

Properties
The value obtained for the formation energy (no corrections) is 0.0564 eV/atom. Its space group is Cm, No. 8. The density of states at the Fermi level comes out at 3.04 states/eV per cell. Its energy is -3.537 eV/atom.

a b c (Å): 4.0185 6.7389 6.8687
angles (deg): 104.97 90.00 107.35
Fractional coordinates of all 6 atoms:
Tl 0.2977 0.5954 0.0991
Tl 0.3052 0.6103 0.6265
Tl 0.9631 0.9262 0.4381
Sb 0.6323 0.2645 0.2821
Sb 0.6272 0.2544 0.7541
Sb 0.0079 0.0158 0.9668